First-principles (PBE with a Hubbard U) data for an optimized crystal structure of Ni3OF5, as listed in Alexandria. Values from VASP.

Calculated values
The space-group type is Cm, No. 8. Its crystal system is monoclinic. As for the energy above the most stable polymorph in this dataset: 0.2 kJ/mol of atoms. The value obtained for the magnetic moment is 14.0 Bohr magnetons per cell. The raw total energy is -4.277 eV/atom.

Geometry as Quantum ESPRESSO input:
```
&SYSTEM
  ibrav = 0, nat = 18, ntyp = 3
/
ATOMIC_SPECIES
Ni 58.69 Ni.upf
O 16.00 O.upf
F 19.00 F.upf
CELL_PARAMETERS angstrom
4.519 -3.355 0.000
4.519 3.355 0.000
-2.677 0.000 6.766
ATOMIC_POSITIONS crystal
Ni 0.000 0.000 0.000
Ni 0.001 0.001 0.511
Ni 0.337 0.337 0.839
Ni 0.342 0.342 0.338
Ni 0.667 0.667 0.177
Ni 0.674 0.674 0.665
O 0.569 0.569 0.374
O 0.903 0.903 0.709
F 0.034 0.641 0.338
F 0.105 0.105 0.304
F 0.234 0.234 0.041
F 0.304 0.699 0.006
F 0.367 0.975 0.671
F 0.440 0.440 0.639
F 0.641 0.034 0.338
F 0.699 0.304 0.006
F 0.766 0.766 0.970
F 0.975 0.367 0.671
```